{
  "formula": "Li2MnO2",
  "functional": "PBE+U",
  "state": "optimized geometry",
  "magmom_total_mub_per_fu": 5.00,
  "e_above_lowest_polymorph_ev_per_atom": 0.157,
  "cell": [[-2.786, 1.711, -0.171], [-1.538, -1.911, 2.168], [1.301, 2.955, 3.881]],
  "species": ["Li", "Li", "Mn", "O", "O"],
  "frac_coords": [[0.742, 0.258, 0.500], [0.258, 0.742, 0.500], [0.000, 0.000, 0.000], [0.262, 0.262, 0.285], [0.738, 0.738, 0.715]]
}